(1)
DFT (PBE) results for a relaxed structure of GaHgIrO6.

Lattice parameters (Å, degrees): 5.2343 5.2343 9.6103 90.00 90.00 120.00
With the nearest neighbours (Å) after each atom.
Space group P-31c (No. 163)
Unique sites:
Ga: 0.3333 0.6667 0.2500 [2 per cell]  6 O 2.00
Hg: 0.0000 0.0000 0.0000 [2 per cell]  6 O 2.38
Ir: 0.3333 0.6667 0.7500 [2 per cell]  6 O 1.92
O: 0.0105 0.3806 0.6392 [12 per cell]  1 Ir 1.92, 1 Ga 2.00

Summary:
magnetization = 0.00 Bohr magnetons per cell
electronic total energy = -5.41 eV per atom

(2)
DFT (PBE) results for a relaxed structure of CaTbGa2Pd2.

Lattice parameters (Å, degrees): 4.4641 4.4641 7.3472 90.00 90.00 120.00
With the nearest neighbours (Å) after each atom.
Space group P-3m1 (No. 164)
Unique sites:
Ca: 0.0000 0.0000 0.0000 [1 per cell]  6 Ga 3.23, 6 Pd 3.27
Tb: 0.0000 0.0000 0.5000 [1 per cell]  6 Pd 3.07, 6 Ga 3.10
Ga: 0.3333 0.6667 0.7353 [2 per cell]  3 Pd 2.58
Pd: 0.3333 0.6667 0.2740 [2 per cell]  3 Ga 2.58

Summary:
formation energy from the elements = -0.785 eV per atom
magnetization = 0.00 Bohr magnetons per cell

(3)
DFT (PBE) results for a relaxed structure of SbPt2Cl.

Lattice parameters (Å, degrees): 3.1270 4.7417 4.9819 90.00 90.00 90.00
With the nearest neighbours (Å) after each atom.
Space group Pmmm (No. 47)
Unique sites:
Sb: 0.0000 0.0000 0.0000 [1 per cell]  4 Pt 2.84, 4 Cl 2.94, 2 Sb 3.13
Pt: 0.0000 0.5000 0.5000 [1 per cell]  4 Cl 2.84, 6 Pt 2.94-3.13
Pt: 0.5000 0.5000 0.0000 [1 per cell]  4 Sb 2.84, 6 Pt 2.94-3.13
Cl: 0.5000 0.0000 0.5000 [1 per cell]  4 Pt 2.84, 4 Sb 2.94, 2 Cl 3.13

Summary:
magnetization = 0.00 Bohr magnetons per cell
electronic total energy = -4.23 eV per atom

Number 1 is which compound?
GaHgIrO6